First-principles (GGA-PBE) data for a relaxed AgBr crystal, as listed in Alexandria.

Calculated values
Uncorrected energy: -30.9 eV for the cell shown
E_form (uncorrected): -0.6 eV/f.u.
Magnetic moment: 0.000 μB per formula unit

Unit cell a=4.4079 b=5.8567 c=13.8124 alpha=90.00 beta=90.00 gamma=90.00
Closest atoms and distances in Å follow each position.
Sites, in units of the cell vectors:
Ag 0.0000 0.0553 0.8876  3 Br 2.65-2.68
Br 0.5000 0.2531 0.8150  3 Ag 2.64-2.68
Br 0.0000 0.7469 0.3150  3 Ag 2.64-2.68
Br 0.5000 0.3118 0.5000  4 Ag 2.65-2.91
Ag 0.5000 0.9447 0.3876  3 Br 2.65-2.68
Br 0.0000 0.7469 0.6850  3 Ag 2.64-2.68
Ag 0.0000 0.6364 0.5000  4 Br 2.64-2.91
Br 0.0000 0.6882 0.0000  4 Ag 2.65-2.91
Ag 0.5000 0.3636 0.0000  4 Br 2.64-2.91
Ag 0.5000 0.9447 0.6124  3 Br 2.65-2.68
Br 0.5000 0.2531 0.1850  3 Ag 2.64-2.68
Ag 0.0000 0.0553 0.1124  3 Br 2.65-2.68

First-principles (GGA-PBE) data for a relaxed LiP2Ir crystal, as listed in Alexandria.

Calculated values
Uncorrected energy: -22.0 eV for the cell shown
Magnetic moment: 0.000 μB per formula unit
Offset from the most stable computed form: 1.93 eV/f.u.
D(E_F): 1.86 states/eV/f.u.
Energy of formation from the pure elements: -102 meV per atom

Unit cell a=5.1685 b=5.1685 c=5.1685 alpha=145.76 beta=134.40 gamma=58.24
Closest atoms and distances in Å follow each position.
Sites, in units of the cell vectors:
Ir 0.5365 0.5365 0.0000  6 P 2.44-2.60
P 0.9640 0.9640 0.0000  2 P 2.47, 4 Ir 2.60
Li 0.2515 0.7515 0.5000  6 P 2.52-2.77, 2 Ir 2.79
P 0.7479 0.2479 0.5000  2 Ir 2.44, 2 P 2.47, 4 Li 2.52

Which value of uncorrected energy does entry 1 give? -30.9 eV for the cell shown